No. 1
YBe2Mo: optimized geometry, PBE.

```
YBe2Mo
1.0
6.698 0.005 0.021
-2.743 3.689 0.000
1.215 0.904 2.429
Y Be Mo
1 2 1
Direct
0.500 0.500 0.000 Y
0.000 0.000 0.000 Be
0.500 0.000 0.500 Be
0.000 0.500 0.500 Mo
```

## Properties
**N(E_F)**: 0.77 states/eV per atom
**Formation enthalpy at 0 K**: 31.5 kJ/mol of atoms
**SG**: Cmmm, No. 65
**Raw total energy**: -5.86 eV per atom

---

No. 2
LiMgGa2: optimized geometry, PBE.

```
LiMgGa2
1.0
-2.590 1.956 -0.132
-1.847 -2.362 1.249
1.327 2.167 6.062
Mg Ga Li
1 2 1
Direct
0.500 0.500 0.500 Mg
0.000 0.000 0.772 Ga
0.000 0.000 0.228 Ga
0.500 0.500 0.000 Li
```

## Properties
**N(E_F)**: 0.17 states/eV per atom
**Formation enthalpy at 0 K**: -21.2 kJ/mol of atoms
**SG**: P4/mmm, No. 123
**Raw total energy**: -2.61 eV per atom

---

No. 3
Fe3CuTc: optimized geometry, PBE.

```
Fe3CuTc
1.0
-2.443 -3.167 -1.514
3.450 -1.824 -1.750
0.650 -2.221 3.597
Tc Cu Fe
1 1 3
Direct
0.500 0.500 0.500 Tc
0.000 0.000 0.000 Cu
0.000 0.500 0.000 Fe
0.000 0.000 0.500 Fe
0.500 0.000 0.000 Fe
```

## Properties
**N(E_F)**: 1.06 states/eV per atom
**Formation enthalpy at 0 K**: 135.3 kJ/mol of atoms
**SG**: Pm-3m, No. 221
**Raw total energy**: -6.57 eV per atom

---

No. 4
Li3IBrCl: optimized geometry, PBE.

```
Li3IBrCl
1.0
-1.901 2.946 1.697
2.650 -2.281 6.926
8.541 6.418 -1.577
Li I Br Cl
6 2 2 2
Direct
0.750 0.848 0.211 Li
0.250 0.152 0.789 Li
0.250 0.867 0.558 Li
0.750 0.133 0.442 Li
0.750 0.391 0.115 Li
0.250 0.609 0.885 Li
0.250 0.150 0.212 I
0.750 0.850 0.788 I
0.250 0.642 0.123 Br
0.750 0.358 0.877 Br
0.250 0.181 0.571 Cl
0.750 0.819 0.429 Cl
```

## Properties
**Energy relative to the elements, uncorrected**: -1.47 eV per atom
**N(E_F)**: 0.00 states/eV per atom
**SG**: P2_1/m, No. 11
**Raw total energy**: -3.27 eV per atom

---

No. 5
LaAlMo2Rh: optimized geometry, PBE.

```
LaAlMo2Rh
1.0
-2.728 2.047 3.353
-2.638 -3.742 0.138
2.801 -1.849 3.408
Mo Rh Al La
2 1 1 1
Direct
0.000 0.000 0.500 Mo
0.500 0.000 0.000 Mo
0.000 0.500 0.000 Rh
0.000 0.000 0.000 Al
0.500 0.500 0.500 La
```

## Properties
**N(E_F)**: 1.19 states/eV per atom
**Formation enthalpy at 0 K**: 65.9 kJ/mol of atoms
**SG**: P4/mmm, No. 123
**Raw total energy**: -6.85 eV per atom

---

No. 6
CaPt2Se: optimized geometry, PBE.

```
CaPt2Se
1.0
3.767 0.000 0.000
0.000 3.767 0.000
0.000 0.000 5.733
Ca Se Pt
1 1 2
Direct
0.500 0.500 0.707 Ca
0.000 0.000 0.528 Se
0.000 0.000 0.083 Pt
0.500 0.500 0.182 Pt
```

## Properties
**Energy relative to the elements, uncorrected**: -0.54 eV per atom
**N(E_F)**: 0.59 states/eV per atom
**SG**: P4mm, No. 99
**Raw total energy**: -4.93 eV per atom